An optimized crystal structure of NbGeTePO. Source: Alexandria, functional PBE.

Calculated values
ΔE to the lowest computed polymorph	0.04	eV/f.u.

a = 3.3564 Å, b = 3.9063 Å, c = 8.0763 Å
α = 90.00°, β = 90.45°, γ = 90.00°
Last column: nearest neighbours and their distance in Å.
Atoms (fractional coordinates):
Nb 0.0000 0.0000 0.0000  2 O 1.96
Ge 0.2716 0.5000 0.3988  2 P 2.46
Te 0.4947 0.0000 0.7160  2 Nb 2.84
P 0.5106 0.0000 0.2429  2 Ge 2.46, 2 Nb 2.57-2.59
O 0.9998 0.5000 0.0139  2 Nb 1.96